VASP calculation (PBE-GGA) on KAlHOs2 after structural relaxation.

Cell: 4.692 4.692 5.571 Å, 90.00 90.00 90.00°
Element x y z (fractional)
K1 0.000 0.000 0.000
Al1 0.000 0.000 0.500
H1 0.500 0.500 0.500
Os1 0.000 0.500 0.000
Os2 0.500 0.000 0.000

Properties
Size of the total moment in μB per formula unit: 3.3
Theoretical density in kg/m³: 6061
VASP energy in eV per atom: -2.416
Space-group type: P4/mmm (123)
Calculated volume in Å³/f.u.: 122.62